[1]
Compound: TaHgRh3
Source: Alexandria via LeMat-Bulk
Functional: PBE-GGA
Structure: relaxed

Results
Magnetization: 0.00 μB per cell
Total energy: -4.995 eV/atom
ΔE_f: 1.8463 eV per atom
Excess energy over the best structure of this formula in the dataset: 1081 meV per atom
Crystal system: cubic

abc: 4.7908 4.7908 4.7908
angles: 90.00 90.00 90.00
With the nearest neighbours (Å) after each atom.
Fractional positions:
Ta: 0.0000 0.0000 0.0000  12 Rh 3.39
Hg: 0.5000 0.5000 0.5000  6 Rh 2.40
Rh: 0.0000 0.5000 0.5000  2 Hg 2.40
Rh: 0.5000 0.0000 0.5000  2 Hg 2.40
Rh: 0.5000 0.5000 0.0000  2 Hg 2.40

---

[2]
Compound: CsRb2UBr8
Source: Alexandria via LeMat-Bulk
Functional: PBE-GGA
Structure: relaxed

Results
Magnetization: 0.99 μB per cell
Total energy: -3.762 eV/atom
Formation energy (no corrections): -1.474 eV per atom
Crystal system: triclinic

abc: 6.4617 8.3584 10.7713
angles: 90.01 90.07 109.50
With the nearest neighbours (Å) after each atom.
Fractional positions:
Cs: 0.0000 0.0000 0.0000  8 Br 3.69-4.00
Rb: 0.4969 0.5012 0.2260  2 Br 3.29
Rb: 0.5031 0.4988 0.7740  2 Br 3.29
U: 0.0000 0.0000 0.5000  6 Br 2.70-2.71
Br: 0.0848 0.8045 0.3198  1 U 2.71
Br: 0.0868 0.8059 0.6803  1 U 2.71
Br: 0.4147 0.7358 0.9983  2 Rb 3.29
Br: 0.4181 0.2160 0.4994  1 U 2.70
Br: 0.5819 0.7840 0.5006  1 U 2.70
Br: 0.5853 0.2642 0.0017  2 Rb 3.29
Br: 0.9132 0.1941 0.3197  1 U 2.71
Br: 0.9152 0.1955 0.6802  1 U 2.71

---

[3]
Compound: Rb2TiGe3O9
Source: Alexandria via LeMat-Bulk
Functional: PBE-GGA
Structure: relaxed

Results
Magnetization: 0.00 μB per cell
Total energy: -6.579 eV/atom
Excess energy over the best structure of this formula in the dataset: 0 meV per atom
Formation energy (no corrections): -2.025 eV per atom
Crystal system: trigonal

abc: 12.4719 12.4719 10.2966
angles: 90.00 90.00 120.00
With the nearest neighbours (Å) after each atom.
Fractional positions:
Rb: 0.0040 0.3360 0.4306  7 O 2.94-3.19
Rb: 0.0040 0.6679 0.9306  7 O 2.94-3.19
Rb: 0.3321 0.3360 0.9306  7 O 2.94-3.19
Rb: 0.3321 0.9960 0.4306  7 O 2.94-3.19
Rb: 0.3360 0.0040 0.0694  7 O 2.94-3.19
Rb: 0.3360 0.3321 0.5694  7 O 2.94-3.19
Rb: 0.6640 0.6679 0.4306  7 O 2.94-3.19
Rb: 0.6640 0.9960 0.9306  7 O 2.94-3.19
Rb: 0.6679 0.0040 0.5694  7 O 2.94-3.19
Rb: 0.6679 0.6640 0.0694  7 O 2.94-3.19
Rb: 0.9960 0.3321 0.0694  7 O 2.94-3.19
Rb: 0.9960 0.6640 0.5694  7 O 2.94-3.19
Ti: 0.0000 0.0000 0.0000  6 O 2.00
Ti: 0.0000 0.0000 0.5000  6 O 2.00
Ti: 0.3333 0.6667 0.4709  6 O 1.95-1.99
Ti: 0.3333 0.6667 0.9709  6 O 1.95-1.99
Ti: 0.6667 0.3333 0.0291  6 O 1.95-1.99
Ti: 0.6667 0.3333 0.5291  6 O 1.95-1.99
Ge: 0.0000 0.1797 0.7500  4 O 1.75-1.82
Ge: 0.0000 0.8203 0.2500  4 O 1.75-1.82
Ge: 0.1465 0.4793 0.7220  4 O 1.74-1.81
Ge: 0.1465 0.6671 0.2220  4 O 1.74-1.81
Ge: 0.1797 0.0000 0.7500  4 O 1.75-1.82
Ge: 0.1797 0.1797 0.2500  4 O 1.75-1.82
Ge: 0.3329 0.4793 0.2220  4 O 1.74-1.81
Ge: 0.3329 0.8535 0.7220  4 O 1.74-1.81
Ge: 0.4793 0.1465 0.7780  4 O 1.74-1.81
Ge: 0.4793 0.3329 0.2780  4 O 1.74-1.81
Ge: 0.5207 0.6671 0.7220  4 O 1.74-1.81
Ge: 0.5207 0.8535 0.2220  4 O 1.74-1.81
Ge: 0.6671 0.1465 0.2780  4 O 1.74-1.81
Ge: 0.6671 0.5207 0.7780  4 O 1.74-1.81
Ge: 0.8203 0.0000 0.2500  4 O 1.75-1.82
Ge: 0.8203 0.8203 0.7500  4 O 1.75-1.82
Ge: 0.8535 0.3329 0.7780  4 O 1.74-1.81
Ge: 0.8535 0.5207 0.2780  4 O 1.74-1.81
O: 0.0000 0.4713 0.7500  2 Ge 1.80
O: 0.0000 0.5287 0.2500  2 Ge 1.80
O: 0.0669 0.1488 0.8843  1 Ge 1.75
O: 0.0669 0.9181 0.3843  1 Ge 1.75
O: 0.0819 0.1488 0.3843  1 Ge 1.75
O: 0.0819 0.9331 0.8843  1 Ge 1.75
O: 0.1151 0.3257 0.6785  2 Ge 1.81-1.82
O: 0.1151 0.7894 0.1785  2 Ge 1.81-1.82
O: 0.1488 0.0669 0.6157  1 Ge 1.75
O: 0.1488 0.0819 0.1157  1 Ge 1.75
O: 0.1887 0.5669 0.5797  1 Ge 1.74, 1 Ti 1.95
O: 0.1887 0.6218 0.0797  1 Ge 1.74, 1 Ti 1.95
O: 0.2106 0.3257 0.1785  2 Ge 1.81-1.82
O: 0.2106 0.8849 0.6785  2 Ge 1.81-1.82
O: 0.2385 0.5174 0.8599  1 Ge 1.74
O: 0.2385 0.7210 0.3599  1 Ge 1.74
O: 0.2790 0.5174 0.3599  1 Ge 1.74
O: 0.2790 0.7615 0.8599  1 Ge 1.74
O: 0.3257 0.1151 0.8215  2 Ge 1.81-1.82
O: 0.3257 0.2106 0.3215  2 Ge 1.81-1.82
O: 0.3782 0.5669 0.0797  1 Ge 1.74, 1 Ti 1.95
O: 0.3782 0.8113 0.5797  1 Ge 1.74, 1 Ti 1.95
O: 0.4331 0.6218 0.5797  1 Ge 1.74, 1 Ti 1.95
O: 0.4331 0.8113 0.0797  1 Ge 1.74, 1 Ti 1.95
O: 0.4713 0.0000 0.7500  2 Ge 1.80
O: 0.4713 0.4713 0.2500  2 Ge 1.80
O: 0.4826 0.7210 0.8599  1 Ge 1.74
O: 0.4826 0.7615 0.3599  1 Ge 1.74
O: 0.5174 0.2385 0.6401  1 Ge 1.74
O: 0.5174 0.2790 0.1401  1 Ge 1.74
O: 0.5287 0.0000 0.2500  2 Ge 1.80
O: 0.5287 0.5287 0.7500  2 Ge 1.80
O: 0.5669 0.1887 0.9203  1 Ge 1.74, 1 Ti 1.95
O: 0.5669 0.3782 0.4203  1 Ge 1.74, 1 Ti 1.95
O: 0.6218 0.1887 0.4203  1 Ge 1.74, 1 Ti 1.95
O: 0.6218 0.4331 0.9203  1 Ge 1.74, 1 Ti 1.95
O: 0.6743 0.7894 0.6785  2 Ge 1.81-1.82
O: 0.6743 0.8849 0.1785  2 Ge 1.81-1.82
O: 0.7210 0.2385 0.1401  1 Ge 1.74
O: 0.7210 0.4826 0.6401  1 Ge 1.74
O: 0.7615 0.2790 0.6401  1 Ge 1.74
O: 0.7615 0.4826 0.1401  1 Ge 1.74
O: 0.7894 0.1151 0.3215  2 Ge 1.81-1.82
O: 0.7894 0.6743 0.8215  2 Ge 1.81-1.82
O: 0.8113 0.3782 0.9203  1 Ge 1.74, 1 Ti 1.95
O: 0.8113 0.4331 0.4203  1 Ge 1.74, 1 Ti 1.95
O: 0.8512 0.9181 0.8843  1 Ge 1.75
O: 0.8512 0.9331 0.3843  1 Ge 1.75
O: 0.8849 0.2106 0.8215  2 Ge 1.81-1.82
O: 0.8849 0.6743 0.3215  2 Ge 1.81-1.82
O: 0.9181 0.0669 0.1157  1 Ge 1.75
O: 0.9181 0.8512 0.6157  1 Ge 1.75
O: 0.9331 0.0819 0.6157  1 Ge 1.75
O: 0.9331 0.8512 0.1157  1 Ge 1.75

---

[4]
Compound: HoGaCu2
Source: Alexandria via LeMat-Bulk
Functional: PBE-GGA
Structure: relaxed

Results
Magnetization: 0.00 μB per cell
Total energy: -4.304 eV/atom
ΔE_f: -0.3549 eV per atom
Crystal system: orthorhombic

abc: 7.9213 6.5028 5.3355
angles: 90.00 90.00 90.00
With the nearest neighbours (Å) after each atom.
Fractional positions:
Ho: 0.0568 0.2500 0.1498  6 Cu 2.88-3.00, 3 Ga 2.96-3.11
Ho: 0.4432 0.7500 0.6498  6 Cu 2.88-3.00, 3 Ga 2.96-3.11
Ho: 0.5568 0.2500 0.3502  6 Cu 2.88-3.00, 3 Ga 2.96-3.11
Ho: 0.9432 0.7500 0.8502  6 Cu 2.88-3.00, 3 Ga 2.96-3.11
Ga: 0.1062 0.7500 0.3498  6 Cu 2.46-2.60
Ga: 0.3938 0.2500 0.8498  6 Cu 2.46-2.60
Ga: 0.6062 0.7500 0.1502  6 Cu 2.46-2.60
Ga: 0.8938 0.2500 0.6502  6 Cu 2.46-2.60
Cu: 0.1796 0.0544 0.6153  3 Ga 2.46-2.60, 1 Cu 2.54
Cu: 0.1796 0.4456 0.6153  3 Ga 2.46-2.60, 1 Cu 2.54
Cu: 0.3204 0.5544 0.1153  3 Ga 2.46-2.60, 1 Cu 2.54
Cu: 0.3204 0.9456 0.1153  3 Ga 2.46-2.60, 1 Cu 2.54
Cu: 0.6796 0.0544 0.8847  3 Ga 2.46-2.60, 1 Cu 2.54
Cu: 0.6796 0.4456 0.8847  3 Ga 2.46-2.60, 1 Cu 2.54
Cu: 0.8204 0.5544 0.3847  3 Ga 2.46-2.60, 1 Cu 2.54
Cu: 0.8204 0.9456 0.3847  3 Ga 2.46-2.60, 1 Cu 2.54

---

[5]
Compound: PuHf2ScP4
Source: Alexandria via LeMat-Bulk
Functional: PBE-GGA
Structure: relaxed

Results
Magnetization: 5.25 μB per cell
Total energy: -9.119 eV/atom
ΔE_f: -1.3426 eV per atom
Crystal system: monoclinic

abc: 6.5158 3.7785 6.5807
angles: 90.00 109.29 90.00
With the nearest neighbours (Å) after each atom.
Fractional positions:
Pu: 0.0000 0.0000 0.0000  6 P 2.72-2.73
Hf: 0.0000 0.5000 0.5000  6 P 2.66
Hf: 0.5000 0.0000 0.5000  6 P 2.62
Sc: 0.5000 0.5000 0.0000  6 P 2.68-2.69
P: 0.2524 0.0000 0.7427  3 Hf 2.62-2.66, 2 Sc 2.69, 1 Pu 2.72
P: 0.2586 0.5000 0.2610  3 Hf 2.62-2.66, 1 Sc 2.68, 2 Pu 2.73
P: 0.7414 0.5000 0.7390  3 Hf 2.62-2.66, 1 Sc 2.68, 2 Pu 2.73
P: 0.7476 0.0000 0.2573  3 Hf 2.62-2.66, 2 Sc 2.69, 1 Pu 2.72

---

[6]
Compound: CaHgSe2
Source: Alexandria via LeMat-Bulk
Functional: PBE-GGA
Structure: relaxed

Results
Magnetization: 0.00 μB per cell
Total energy: -3.063 eV/atom
Formation energy (no corrections): -0.745 eV per atom
Crystal system: orthorhombic

abc: 4.3033 6.3504 7.6188
angles: 90.00 90.00 90.00
With the nearest neighbours (Å) after each atom.
Fractional positions:
Ca: 0.0000 0.0000 0.0000  4 Se 2.96
Ca: 0.5000 0.5000 0.5000  4 Se 2.96
Hg: 0.0000 0.0000 0.5000  4 Se 2.79
Hg: 0.5000 0.5000 0.0000  4 Se 2.79
Se: 0.0000 0.5000 0.2329  2 Hg 2.79, 2 Ca 2.96
Se: 0.0000 0.5000 0.7671  2 Hg 2.79, 2 Ca 2.96
Se: 0.5000 0.0000 0.2671  2 Hg 2.79, 2 Ca 2.96
Se: 0.5000 0.0000 0.7329  2 Hg 2.79, 2 Ca 2.96